Record 1
Na5Cu2F12 | GGA-PBE | optimized geometry

a = 7.0367 Å, b = 7.0367 Å, c = 7.2587 Å
α = 106.03°, β = 106.03°, γ = 49.16°
Last column: nearest neighbours and their distance in Å.
Atoms (fractional coordinates):
1 Na 0.0000 0.0000 0.0000  6 F 2.33-2.34
2 Na 0.2967 0.2967 0.1344  7 F 2.35-2.51
3 Na 0.3006 0.3006 0.6632  7 F 2.33-2.55
4 Na 0.6994 0.6994 0.3368  7 F 2.33-2.55
5 Na 0.7033 0.7033 0.8656  7 F 2.35-2.51
6 Cu 0.2494 0.7506 0.5000  6 F 1.89-1.97
7 Cu 0.7506 0.2494 0.5000  6 F 1.89-1.97
8 F 0.0029 0.0029 0.6789  2 Cu 1.95
9 F 0.1044 0.5864 0.4239  1 Cu 1.89
10 F 0.1051 0.6002 0.9276  4 Na 2.33-2.35
11 F 0.3998 0.8949 0.0724  4 Na 2.33-2.35
12 F 0.4136 0.8956 0.5761  1 Cu 1.89
13 F 0.4976 0.4976 0.3183  2 Cu 1.97
14 F 0.5024 0.5024 0.6817  2 Cu 1.97
15 F 0.5864 0.1044 0.4239  1 Cu 1.89
16 F 0.6002 0.1051 0.9276  4 Na 2.33-2.35
17 F 0.8949 0.3998 0.0724  4 Na 2.33-2.35
18 F 0.8956 0.4136 0.5761  1 Cu 1.89
19 F 0.9971 0.9971 0.3211  2 Cu 1.95

Values from the calculation:
Total moment, Bohr magnetons per cell: 4.96
Space group: C2/m, No. 12
Formation energy from raw total energies, eV per atom: -2.016
V, Å³/cell: 259.07
Raw total energy, eV/atom: -3.98

***

Record 2
Na3CuF6 | GGA-PBE | optimized geometry

a = 5.5220 Å, b = 5.7703 Å, c = 9.6736 Å
α = 90.00°, β = 124.53°, γ = 90.00°
Last column: nearest neighbours and their distance in Å.
Atoms (fractional coordinates):
1 Na 0.0000 0.0000 0.0000  6 F 2.25-2.31
2 Na 0.0000 0.5000 0.5000  6 F 2.25-2.31
3 Na 0.2261 0.0607 0.7445  5 F 2.31-2.54
4 Na 0.2261 0.4393 0.2445  5 F 2.31-2.54
5 Na 0.7739 0.5607 0.7555  5 F 2.31-2.54
6 Na 0.7739 0.9393 0.2555  5 F 2.31-2.54
7 Cu 0.5000 0.0000 0.5000  6 F 1.92-1.94
8 Cu 0.5000 0.5000 0.0000  6 F 1.92-1.94
9 F 0.1638 0.1785 0.4471  1 Cu 1.92
10 F 0.1638 0.3215 0.9471  1 Cu 1.92
11 F 0.2586 0.7231 0.4274  1 Cu 1.94
12 F 0.2586 0.7769 0.9274  1 Cu 1.94
13 F 0.3934 0.0561 0.2747  1 Cu 1.94
14 F 0.3934 0.4439 0.7747  1 Cu 1.94
15 F 0.6066 0.5561 0.2253  1 Cu 1.94
16 F 0.6066 0.9439 0.7253  1 Cu 1.94
17 F 0.7414 0.2231 0.0726  1 Cu 1.94
18 F 0.7414 0.2769 0.5726  1 Cu 1.94
19 F 0.8362 0.6785 0.0529  1 Cu 1.92
20 F 0.8362 0.8215 0.5529  1 Cu 1.92

Values from the calculation:
Total moment, Bohr magnetons per cell: 4.00
Space group: P2_1/c, No. 14
Formation energy from raw total energies, eV per atom: -2.266
V, Å³/cell: 253.93
Raw total energy, eV/atom: -4.19

***

Record 3
NaCu2F | GGA-PBE | optimized geometry

a = 6.2004 Å, b = 6.2004 Å, c = 6.2004 Å
α = 90.00°, β = 90.00°, γ = 90.00°
Last column: nearest neighbours and their distance in Å.
Atoms (fractional coordinates):
1 Na 0.0000 0.0000 0.0000  8 Cu 2.68
2 Na 0.0000 0.5000 0.5000  8 Cu 2.68
3 Na 0.5000 0.0000 0.5000  8 Cu 2.68
4 Na 0.5000 0.5000 0.0000  8 Cu 2.68
5 Cu 0.2500 0.2500 0.2500  4 F 2.68, 4 Na 2.68
6 Cu 0.2500 0.2500 0.7500  4 F 2.68, 4 Na 2.68
7 Cu 0.2500 0.7500 0.2500  4 F 2.68, 4 Na 2.68
8 Cu 0.2500 0.7500 0.7500  4 F 2.68, 4 Na 2.68
9 Cu 0.7500 0.2500 0.2500  4 F 2.68, 4 Na 2.68
10 Cu 0.7500 0.2500 0.7500  4 F 2.68, 4 Na 2.68
11 Cu 0.7500 0.7500 0.2500  4 F 2.68, 4 Na 2.68
12 Cu 0.7500 0.7500 0.7500  4 F 2.68, 4 Na 2.68
13 F 0.0000 0.0000 0.5000  8 Cu 2.68
14 F 0.0000 0.5000 0.0000  8 Cu 2.68
15 F 0.5000 0.0000 0.0000  8 Cu 2.68
16 F 0.5000 0.5000 0.5000  8 Cu 2.68

Values from the calculation:
Total moment, Bohr magnetons per cell: 0.00
Space group: Fm-3m, No. 225
Formation energy from raw total energies, eV per atom: 0.050
V, Å³/cell: 238.37
Raw total energy, eV/atom: -2.80

***

Record 4
NaCu3F9 | GGA-PBE | optimized geometry

a = 5.2956 Å, b = 7.5056 Å, c = 8.1034 Å
α = 90.00°, β = 94.06°, γ = 90.00°
Last column: nearest neighbours and their distance in Å.
Atoms (fractional coordinates):
1 Na 0.0368 0.2500 0.4276  8 F 2.36-2.55
2 Na 0.9632 0.7500 0.5724  8 F 2.36-2.55
3 Cu 0.0000 0.0000 0.0000  6 F 1.91-1.95
4 Cu 0.0000 0.5000 0.0000  6 F 1.91-1.95
5 Cu 0.4666 0.0027 0.6857  6 F 1.89-2.01
6 Cu 0.4666 0.4973 0.6857  6 F 1.89-2.01
7 Cu 0.5334 0.5027 0.3143  6 F 1.89-2.01
8 Cu 0.5334 0.9973 0.3143  6 F 1.89-2.01
9 F 0.0890 0.2500 0.9894  2 Cu 1.94
10 F 0.1678 0.5502 0.7992  2 Cu 1.93-1.95
11 F 0.1678 0.9498 0.7992  2 Cu 1.93-1.95
12 F 0.2631 0.5407 0.4736  2 Cu 1.99-2.01
13 F 0.2631 0.9593 0.4736  2 Cu 1.99-2.01
14 F 0.3091 0.5481 0.1277  2 Cu 1.89-1.91
15 F 0.3091 0.9519 0.1277  2 Cu 1.89-1.91
16 F 0.3541 0.2500 0.6636  2 Cu 1.95
17 F 0.4317 0.2500 0.3091  2 Cu 1.97
18 F 0.5683 0.7500 0.6909  2 Cu 1.97
19 F 0.6459 0.7500 0.3364  2 Cu 1.95
20 F 0.6909 0.0481 0.8723  2 Cu 1.89-1.91
21 F 0.6909 0.4519 0.8723  2 Cu 1.89-1.91
22 F 0.7369 0.0407 0.5264  2 Cu 1.99-2.01
23 F 0.7369 0.4593 0.5264  2 Cu 1.99-2.01
24 F 0.8322 0.0502 0.2008  2 Cu 1.93-1.95
25 F 0.8322 0.4498 0.2008  2 Cu 1.93-1.95
26 F 0.9110 0.7500 0.0106  2 Cu 1.94

Values from the calculation:
Total moment, Bohr magnetons per cell: 3.47
Space group: P2_1/m, No. 11
Formation energy from raw total energies, eV per atom: -1.655
V, Å³/cell: 321.28
Raw total energy, eV/atom: -4.00

***

Record 5
NaCu2F6 | GGA-PBE | optimized geometry

a = 5.2935 Å, b = 5.2935 Å, c = 4.9220 Å
α = 92.53°, β = 92.53°, γ = 122.82°
Last column: nearest neighbours and their distance in Å.
Atoms (fractional coordinates):
1 Na 0.0000 0.0000 0.0000  6 F 2.30-2.47
2 Cu 0.3348 0.6652 0.5000  6 F 1.92-2.01
3 Cu 0.6652 0.3348 0.5000  6 F 1.92-2.01
4 F 0.0152 0.6507 0.7190  2 Cu 1.92-2.01
5 F 0.3493 0.9848 0.2810  2 Cu 1.92-2.01
6 F 0.3733 0.3733 0.7115  2 Cu 1.99
7 F 0.6267 0.6267 0.2885  2 Cu 1.99
8 F 0.6507 0.0152 0.7190  2 Cu 1.92-2.01
9 F 0.9848 0.3493 0.2810  2 Cu 1.92-2.01

Values from the calculation:
Total moment, Bohr magnetons per cell: 3.00
Space group: C2/m, No. 12
Formation energy from raw total energies, eV per atom: -1.771
V, Å³/cell: 115.42
Raw total energy, eV/atom: -4.08

***

Record 6
NaCuF4 | GGA-PBE | optimized geometry

a = 5.5357 Å, b = 4.9451 Å, c = 5.6380 Å
α = 90.00°, β = 90.00°, γ = 90.00°
Last column: nearest neighbours and their distance in Å.
Atoms (fractional coordinates):
1 Na 0.0000 0.0000 0.0000  6 F 2.25-2.50
2 Na 0.0000 0.5000 0.5000  6 F 2.25-2.50
3 Cu 0.5000 0.0000 0.3372  6 F 1.82-1.98
4 Cu 0.5000 0.5000 0.8372  6 F 1.82-1.98
5 F 0.2030 0.1580 0.3301  1 Cu 1.82
6 F 0.2030 0.3420 0.8301  1 Cu 1.82
7 F 0.3839 0.7472 0.5844  2 Cu 1.98
8 F 0.3839 0.7528 0.0844  2 Cu 1.98
9 F 0.6161 0.2472 0.0844  2 Cu 1.98
10 F 0.6161 0.2528 0.5844  2 Cu 1.98
11 F 0.7970 0.6580 0.8301  1 Cu 1.82
12 F 0.7970 0.8420 0.3301  1 Cu 1.82

Values from the calculation:
Total moment, Bohr magnetons per cell: 0.03
Space group: Pnc2, No. 30
Formation energy from raw total energies, eV per atom: -1.856
V, Å³/cell: 154.34
Raw total energy, eV/atom: -4.01

***

Record 7
NaCu2F6 | GGA-PBE | optimized geometry

a = 5.7442 Å, b = 5.7442 Å, c = 7.2503 Å
α = 121.70°, β = 121.70°, γ = 38.28°
Last column: nearest neighbours and their distance in Å.
Atoms (fractional coordinates):
1 Na 0.0000 0.0000 0.0000  6 F 2.33-2.38
2 Cu 0.1725 0.1725 0.6078  4 F 1.80-1.91
3 Cu 0.8275 0.8275 0.3922  4 F 1.80-1.91
4 F 0.0042 0.0042 0.3245  1 Cu 1.84
5 F 0.3074 0.3074 0.4089  2 Cu 1.91
6 F 0.3401 0.3401 0.8832  1 Cu 1.80
7 F 0.6599 0.6599 0.1168  1 Cu 1.80
8 F 0.6926 0.6926 0.5911  2 Cu 1.91
9 F 0.9958 0.9958 0.6755  1 Cu 1.84

Values from the calculation:
Total moment, Bohr magnetons per cell: 0.58
Space group: C2/m, No. 12
Formation energy from raw total energies, eV per atom: -1.749
V, Å³/cell: 123.18
Raw total energy, eV/atom: -4.05

***

Record 8
NaCu3F | GGA-PBE | optimized geometry

a = 4.6723 Å, b = 4.6723 Å, c = 4.6723 Å
α = 90.00°, β = 90.00°, γ = 90.00°
Last column: nearest neighbours and their distance in Å.
Atoms (fractional coordinates):
1 Na 0.0000 0.0000 0.0000  6 Cu 2.34
2 Cu 0.0000 0.0000 0.5000  2 Na 2.34
3 Cu 0.0000 0.5000 0.0000  2 Na 2.34
4 Cu 0.5000 0.0000 0.0000  2 Na 2.34
5 F 0.5000 0.5000 0.5000  12 Cu 3.30

Values from the calculation:
Total moment, Bohr magnetons per cell: 0.00
Space group: Pm-3m, No. 221
Formation energy from raw total energies, eV per atom: 1.042
V, Å³/cell: 102.00
Raw total energy, eV/atom: -2.05

***

Record 9
Na2CuF4 | GGA-PBE | optimized geometry

a = 3.9436 Å, b = 3.9436 Å, c = 12.0465 Å
α = 90.00°, β = 90.00°, γ = 90.00°
Last column: nearest neighbours and their distance in Å.
Atoms (fractional coordinates):
1 Na 0.0000 0.0000 0.1678  4 F 2.21
2 Na 0.0000 0.0000 0.8322  4 F 2.21
3 Na 0.5000 0.5000 0.3322  4 F 2.21
4 Na 0.5000 0.5000 0.6678  4 F 2.21
5 Cu 0.0000 0.0000 0.5000  4 F 1.97
6 Cu 0.5000 0.5000 0.0000  4 F 1.97
7 F 0.0000 0.5000 0.0000  2 Cu 1.97
8 F 0.0000 0.5000 0.2500  4 Na 2.21
9 F 0.0000 0.5000 0.5000  2 Cu 1.97
10 F 0.0000 0.5000 0.7500  4 Na 2.21
11 F 0.5000 0.0000 0.0000  2 Cu 1.97
12 F 0.5000 0.0000 0.2500  4 Na 2.21
13 F 0.5000 0.0000 0.5000  2 Cu 1.97
14 F 0.5000 0.0000 0.7500  4 Na 2.21

Values from the calculation:
Total moment, Bohr magnetons per cell: 0.56
Space group: I4/mmm, No. 139
Formation energy from raw total energies, eV per atom: -2.040
V, Å³/cell: 187.34
Raw total energy, eV/atom: -4.07

***

Record 10
Na2CuF4 | GGA-PBE | optimized geometry

a = 5.9731 Å, b = 5.8960 Å, c = 6.2210 Å
α = 90.00°, β = 106.60°, γ = 90.00°
Last column: nearest neighbours and their distance in Å.
Atoms (fractional coordinates):
1 Na 0.1524 0.2500 0.0324  6 F 2.27-2.42
2 Na 0.2173 0.2500 0.5500  6 F 2.24-2.49
3 Na 0.7827 0.7500 0.4500  6 F 2.24-2.49
4 Na 0.8476 0.7500 0.9676  6 F 2.27-2.42
5 Cu 0.3052 0.7500 0.8126  4 F 1.88-1.98
6 Cu 0.6948 0.2500 0.1874  4 F 1.88-1.98
7 F 0.0492 0.5241 0.7559  1 Cu 1.98
8 F 0.0492 0.9759 0.7559  1 Cu 1.98
9 F 0.4663 0.2500 0.3414  1 Cu 1.88
10 F 0.4809 0.2500 0.8975  1 Cu 1.89
11 F 0.5191 0.7500 0.1025  1 Cu 1.89
12 F 0.5337 0.7500 0.6586  1 Cu 1.88
13 F 0.9508 0.0241 0.2441  1 Cu 1.98
14 F 0.9508 0.4759 0.2441  1 Cu 1.98

Values from the calculation:
Total moment, Bohr magnetons per cell: 2.00
Space group: P2_1/m, No. 11
Formation energy from raw total energies, eV per atom: -2.106
V, Å³/cell: 209.96
Raw total energy, eV/atom: -4.14

***

Record 11
Na2Cu2F5 | GGA-PBE | optimized geometry

a = 8.5814 Å, b = 8.5814 Å, c = 8.5814 Å
α = 55.26°, β = 141.64°, γ = 141.80°
Last column: nearest neighbours and their distance in Å.
Atoms (fractional coordinates):
1 Na 0.0028 0.1161 0.1189  5 F 2.28-2.46
2 Na 0.0028 0.3839 0.3866  5 F 2.28-2.46
3 Na 0.9972 0.6161 0.6134  5 F 2.28-2.46
4 Na 0.9972 0.8839 0.8811  5 F 2.28-2.46
5 Cu 0.4652 0.4652 0.0000  6 F 2.03-2.19
6 Cu 0.4652 0.9652 0.5000  6 F 2.03-2.19
7 Cu 0.5169 0.7787 0.2383  3 F 1.96-2.02
8 Cu 0.5404 0.2787 0.7617  3 F 1.96-2.02
9 F 0.3021 0.0470 0.5293  2 Cu 1.96-2.19
10 F 0.3021 0.2728 0.7551  2 Cu 1.96-2.19
11 F 0.4802 0.1904 0.2291  2 Cu 2.03-2.06
12 F 0.4802 0.7511 0.7898  2 Cu 2.03-2.06
13 F 0.5177 0.5470 0.2449  2 Cu 1.96-2.19
14 F 0.5177 0.7728 0.4707  2 Cu 1.96-2.19
15 F 0.7457 0.1204 0.1253  2 Cu 2.02-2.23
16 F 0.9613 0.2511 0.7709  2 Cu 2.03-2.06
17 F 0.9613 0.6904 0.2102  2 Cu 2.03-2.06
18 F 0.9951 0.6204 0.8747  2 Cu 2.02-2.23

Values from the calculation:
Total moment, Bohr magnetons per cell: 2.03
Space group: Ima2, No. 46
Formation energy from raw total energies, eV per atom: -1.942
V, Å³/cell: 240.81
Raw total energy, eV/atom: -4.18

***

Record 12
Na5CuF8 | GGA-PBE | optimized geometry

a = 6.1507 Å, b = 6.1507 Å, c = 6.1507 Å
α = 112.10°, β = 112.10°, γ = 104.33°
Last column: nearest neighbours and their distance in Å.
Atoms (fractional coordinates):
1 Na 0.0000 0.0000 0.0000  4 F 2.32
2 Na 0.2484 0.1012 0.5837  5 F 2.25-2.42
3 Na 0.3354 0.7516 0.8528  5 F 2.25-2.42
4 Na 0.5174 0.6646 0.4163  5 F 2.25-2.42
5 Na 0.8988 0.4826 0.1472  5 F 2.25-2.42
6 Cu 0.7500 0.2500 0.5000  4 F 1.82
7 F 0.0405 0.3108 0.7912  1 Cu 1.82
8 F 0.1788 0.3888 0.4122  5 Na 2.25-2.42
9 F 0.2334 0.8212 0.2100  5 Na 2.25-2.42
10 F 0.5196 0.2493 0.2088  1 Cu 1.82
11 F 0.6112 0.0234 0.7900  5 Na 2.25-2.42
12 F 0.6892 0.4804 0.7296  1 Cu 1.82
13 F 0.7507 0.9595 0.2704  1 Cu 1.82
14 F 0.9766 0.7666 0.5878  5 Na 2.25-2.42

Values from the calculation:
Total moment, Bohr magnetons per cell: 0.12
Space group: I-4, No. 82
Formation energy from raw total energies, eV per atom: -2.288
V, Å³/cell: 178.06
Raw total energy, eV/atom: -4.12